(1)
The following is a DFT calculation (GGA-PBE) of crystalline CaTlIn2O6 at its relaxed geometry.

Lattice parameters (Å, degrees): 5.7151 5.7151 15.0159 90.00 90.00 120.00
Space group R3 (No. 146, hexagonal axes)
Asymmetric unit:
Ca 0.0000 0.0000 0.0000 [3 per cell]
Tl 0.0000 0.0000 0.4945 [3 per cell]
In 0.0000 0.0000 0.2800 [3 per cell]
In 0.0000 0.0000 0.7827 [3 per cell]
O 0.0172 0.3062 0.8821 [9 per cell]
O 0.0272 0.6301 0.0494 [9 per cell]

Energy relative to the elements, uncorrected = -1.44 eV/atom
Calculated volume = 425 Å³ per cell
Magnetic moment = 0.11 μB per atom
DOS at the Fermi energy = 7.46 states/eV/f.u.


(2)
The following is a DFT calculation (GGA-PBE) of crystalline CaLa8Ho6 at its relaxed geometry.

Lattice parameters (Å, degrees): 9.6212 9.6212 20.5624 90.00 90.00 120.00
Space group R-3 (No. 148, hexagonal axes)
Asymmetric unit:
Ca 0.0000 0.0000 0.0000 [3 per cell]
La 0.0000 0.0000 0.2435 [6 per cell]
La 0.0131 0.3136 0.1247 [18 per cell]
Ho 0.0013 0.2788 0.6293 [18 per cell]

Calculated volume = 1648 Å³ per cell
ΔH_f (0 K) = 0.252 eV per atom
Magnetic moment = 0.00 μB per atom
DOS at the Fermi energy = 25.71 states/eV/f.u.


(3)
The following is a DFT calculation (GGA-PBE) of crystalline FeNiGe2H at its relaxed geometry.

Lattice parameters (Å, degrees): 4.374 4.374 4.669 90.00 90.00 90.00
Space group P4/mmm (No. 123)
Asymmetric unit:
Fe 0.000 0.000 0.000 [1 per cell]
Ni 0.000 0.000 0.500 [1 per cell]
Ge 0.000 0.500 0.500 [2 per cell]
H 0.500 0.500 0.000 [1 per cell]

E = -4.52 eV per atom
Calculated volume = 89 Å³ per cell
Magnetic moment = 0.68 μB per atom
DOS at the Fermi energy = 4.23 states/eV/f.u.


(4)
The following is a DFT calculation (GGA-PBE) of crystalline SiP2Pd at its relaxed geometry.

Lattice parameters (Å, degrees): 3.6823 3.6823 20.1378 90.00 90.00 120.00
Space group R-3m (No. 166, hexagonal axes)
Asymmetric unit:
Si 0.0000 0.0000 0.0000 [3 per cell]
P 0.0000 0.0000 0.1096 [6 per cell]
Pd 0.0000 0.0000 0.5000 [3 per cell]

Energy relative to the elements, uncorrected = 0.27 eV/atom
Calculated volume = 236 Å³ per cell
Magnetic moment = 0.00 μB per atom
DOS at the Fermi energy = 2.02 states/eV/f.u.


(5)
The following is a DFT calculation (GGA-PBE) of crystalline GdTmPb at its relaxed geometry.

Lattice parameters (Å, degrees): 5.2963 5.2963 3.6993 90.00 90.00 120.00
Space group P3m1 (No. 156)
Asymmetric unit:
Gd 0.0000 0.0000 0.0000 [1 per cell]
Tm 0.3333 0.6667 0.5373 [1 per cell]
Pb 0.6667 0.3333 0.3300 [1 per cell]

Calculated volume = 90 Å³ per cell
ΔH_f (0 K) = -0.210 eV per atom
Magnetic moment = 2.55 μB per atom
DOS at the Fermi energy = 4.16 states/eV/f.u.


(6)
The following is a DFT calculation (GGA-PBE) of crystalline AlH3Pd6 at its relaxed geometry.

Lattice parameters (Å, degrees): 9.106 2.897 9.352 90.00 111.44 90.00
Space group P2_1/m (No. 11)
Asymmetric unit:
Al 0.118 0.250 0.377 [2 per cell]
H 0.186 0.750 0.032 [2 per cell]
H 0.255 0.250 0.822 [2 per cell]
H 0.461 0.250 0.318 [2 per cell]
Pd 0.047 0.250 0.850 [2 per cell]
Pd 0.150 0.750 0.616 [2 per cell]
Pd 0.243 0.250 0.167 [2 per cell]
Pd 0.349 0.750 0.948 [2 per cell]
Pd 0.357 0.750 0.449 [2 per cell]
Pd 0.448 0.250 0.736 [2 per cell]

E = -4.78 eV per atom
Calculated volume = 230 Å³ per cell
Magnetic moment = 0.00 μB per atom
DOS at the Fermi energy = 2.61 states/eV/f.u.


(7)
The following is a DFT calculation (GGA-PBE) of crystalline CaFeH2N at its relaxed geometry.

Lattice parameters (Å, degrees): 3.554 3.554 3.591 90.00 90.00 90.00
Space group P4/mmm (No. 123)
Asymmetric unit:
Ca 0.000 0.000 0.000 [1 per cell]
Fe 0.500 0.500 0.500 [1 per cell]
H 0.000 0.500 0.500 [2 per cell]
N 0.500 0.500 0.000 [1 per cell]

E = -5.59 eV per atom
Calculated volume = 45 Å³ per cell
Magnetic moment = 0.00 μB per atom
DOS at the Fermi energy = 1.34 states/eV/f.u.


(8)
The following is a DFT calculation (GGA-PBE) of crystalline NaY2O at its relaxed geometry.

Lattice parameters (Å, degrees): 7.017 7.017 9.251 90.00 90.00 90.00
Space group I-42d (No. 122)
Asymmetric unit:
Na 0.000 0.000 0.000 [4 per cell]
Y 0.104 0.750 0.625 [8 per cell]
O 0.000 0.000 0.500 [4 per cell]

Energy relative to the elements, uncorrected = -1.15 eV/atom
Calculated volume = 456 Å³ per cell
Magnetic moment = 0.21 μB per atom
DOS at the Fermi energy = 2.75 states/eV/f.u.


(9)
The following is a DFT calculation (GGA-PBE) of crystalline YTa2Zn at its relaxed geometry.

Lattice parameters (Å, degrees): 4.373 4.373 8.237 90.00 90.00 90.00
Space group I-4m2 (No. 119)
Asymmetric unit:
Y 0.000 0.000 0.000 [2 per cell]
Ta 0.000 0.000 0.500 [2 per cell]
Ta 0.000 0.500 0.250 [2 per cell]
Zn 0.000 0.500 0.750 [2 per cell]

Calculated volume = 158 Å³ per cell
ΔH_f (0 K) = 0.299 eV per atom
Magnetic moment = 0.00 μB per atom
DOS at the Fermi energy = 4.87 states/eV/f.u.


(10)
The following is a DFT calculation (GGA-PBE) of crystalline IrSeSN2 at its relaxed geometry.

Lattice parameters (Å, degrees): 3.730 3.730 5.834 90.00 90.00 90.00
Space group P4/mmm (No. 123)
Asymmetric unit:
Ir 0.000 0.000 0.000 [1 per cell]
Se 0.000 0.000 0.500 [1 per cell]
S 0.500 0.500 0.500 [1 per cell]
N 0.000 0.500 0.000 [2 per cell]

Energy relative to the elements, uncorrected = 0.90 eV/atom
Calculated volume = 81 Å³ per cell
Magnetic moment = 0.09 μB per atom
DOS at the Fermi energy = 2.88 states/eV/f.u.


(11)
The following is a DFT calculation (GGA-PBE) of crystalline HfTaRh4 at its relaxed geometry.

Lattice parameters (Å, degrees): 3.962 26.752 3.878 90.00 90.00 90.00
Space group Cmmm (No. 65)
Asymmetric unit:
Hf 0.000 0.068 0.000 [4 per cell]
Ta 0.000 0.295 0.500 [4 per cell]
Rh 0.000 0.000 0.500 [2 per cell]
Rh 0.000 0.140 0.500 [4 per cell]
Rh 0.000 0.213 0.000 [4 per cell]
Rh 0.000 0.360 0.000 [4 per cell]
Rh 0.000 0.500 0.000 [2 per cell]

Calculated volume = 411 Å³ per cell
ΔH_f (0 K) = -0.429 eV per atom
Magnetic moment = 0.00 μB per atom
DOS at the Fermi energy = 5.18 states/eV/f.u.


(12)
The following is a DFT calculation (GGA-PBE) of crystalline RbIn3Pb at its relaxed geometry.

Lattice parameters (Å, degrees): 6.078 6.078 6.078 90.00 90.00 90.00
Space group Pm-3m (No. 221)
Asymmetric unit:
Rb 0.000 0.000 0.000 [1 per cell]
In 0.000 0.500 0.500 [3 per cell]
Pb 0.500 0.500 0.500 [1 per cell]

Calculated volume = 225 Å³ per cell
ΔH_f (0 K) = 0.234 eV per atom
Magnetic moment = 0.00 μB per atom
DOS at the Fermi energy = 3.50 states/eV/f.u.